DFT (PBEsol) results for a relaxed Dy2Si9B36C crystal.

a b c (Å): 8.003 8.003 7.968
angles (deg): 101.94 101.94 77.97
Positions (direct):
Dy 0.249 0.751 0.000
Dy 0.751 0.249 0.000
Si 0.012 0.012 0.836
Si 0.016 0.406 0.245
Si 0.096 0.483 0.754
Si 0.176 0.176 0.073
Si 0.319 0.319 0.929
Si 0.406 0.016 0.245
Si 0.483 0.096 0.754
Si 0.486 0.486 0.159
Si 0.794 0.794 0.457
B 0.047 0.756 0.494
B 0.124 0.951 0.480
B 0.125 0.768 0.302
B 0.170 0.569 0.394
B 0.172 0.857 0.676
B 0.196 0.624 0.626
B 0.313 0.871 0.377
B 0.338 0.641 0.328
B 0.339 0.925 0.606
B 0.379 0.546 0.523
B 0.379 0.728 0.700
B 0.474 0.732 0.517
B 0.546 0.379 0.523
B 0.549 0.729 0.871
B 0.569 0.170 0.394
B 0.569 0.859 0.080
B 0.624 0.196 0.626
B 0.624 0.624 0.055
B 0.639 0.926 0.909
B 0.641 0.338 0.328
B 0.728 0.379 0.700
B 0.729 0.549 0.871
B 0.732 0.474 0.517
B 0.732 0.732 0.774
B 0.756 0.047 0.494
B 0.756 0.756 0.204
B 0.767 0.948 0.125
B 0.768 0.125 0.302
B 0.857 0.172 0.676
B 0.859 0.569 0.080
B 0.871 0.313 0.377
B 0.871 0.871 0.935
B 0.925 0.339 0.606
B 0.926 0.639 0.909
B 0.948 0.767 0.125
B 0.951 0.124 0.480
C 0.682 0.682 0.565

Summary:
ΔE_f (raw): -0.23 eV/atom
E_tot: -334.86 eV for the cell shown

DFT (PBEsol) results for a relaxed YCuAs crystal.

a b c (Å): 4.420 4.420 4.420
angles (deg): 60.00 60.00 60.00
Positions (direct):
Y 0.000 0.000 0.000
Cu 0.500 0.500 0.500
As 0.250 0.250 0.250

Summary:
energy relative to the elements: -0.50 eV/atom
E_tot: -17.77 eV for the cell shown

DFT (PBEsol) results for a relaxed MnAlCl2 crystal.

a b c (Å): 6.511 6.511 4.531
angles (deg): 97.80 97.80 27.05
Positions (direct):
Mn 0.000 0.000 0.000
Al 0.500 0.500 0.500
Cl 0.353 0.353 0.791
Cl 0.647 0.647 0.209

Summary:
ΔE_f (raw): -0.31 eV/atom
E_tot: -19.09 eV for the cell shown
polymorph energy (0 for the lowest one): 31 meV/atom

DFT (PBEsol) results for a relaxed CdGeSe2 crystal.

a b c (Å): 8.031 8.031 8.031
angles (deg): 29.99 29.99 29.99
Positions (direct):
Cd 0.000 0.000 0.000
Ge 0.500 0.500 0.500
Se 0.106 0.106 0.106
Se 0.894 0.894 0.894

Summary:
ΔE_f (raw): -0.07 eV/atom
E_tot: -14.11 eV for the cell shown

DFT (PBEsol) results for a relaxed TiMnGe3 crystal.

a b c (Å): 4.497 4.497 4.497
angles (deg): 90.00 90.00 90.00
Positions (direct):
Ti 0.000 0.000 0.000
Mn 0.500 0.500 0.500
Ge 0.000 0.500 0.500
Ge 0.500 0.000 0.500
Ge 0.500 0.500 0.000

Summary:
energy relative to the elements: 0.44 eV/atom
E_tot: -30.72 eV for the cell shown

DFT (PBEsol) results for a relaxed BaSr crystal.

a b c (Å): 7.419 7.419 7.419
angles (deg): 131.87 131.87 70.44
Positions (direct):
Ba 0.375 0.625 0.750
Ba 0.625 0.375 0.250
Sr 0.125 0.875 0.250
Sr 0.875 0.125 0.750

Summary:
energy relative to the elements: 0.02 eV/atom
E_tot: -7.91 eV for the cell shown
polymorph energy (0 for the lowest one): 18 meV/atom

Q: What is the E_tot in the sixth record?
A: -7.91 eV for the cell shown

Q: The lowest E_tot belongs to which entry?
A: Dy2Si9B36C